# CsCaRe2Tc | Alexandria via LeMat-Bulk | SCAN | single point on PBEsol structure
# Total DFT energy (no corrections)   -43.167 eV per atom
# E_form   1.7788 eV/atom
# M_tot   0.00 μB per formula unit
data_CsCaRe2Tc
_chemical_formula_sum 'Cs1 Ca1 Re2 Tc1'
_space_group_name_H-M_alt 'P 4/m m m'
_space_group_IT_number 123
_space_group_name_Hall '-P 4 2'
_cell_length_a 4.736
_cell_length_b 4.736
_cell_length_c 5.530
_cell_angle_alpha 90.00
_cell_angle_beta 90.00
_cell_angle_gamma 90.00
loop_
_atom_site_label
_atom_site_fract_x
_atom_site_fract_y
_atom_site_fract_z
Cs1 0.000 0.000 0.000
Ca1 0.500 0.500 0.000
Re1 0.000 0.500 0.500
Tc1 0.000 0.000 0.500